DFT (PBE) results for an optimized crystal structure of TeHSeI2.

Unit cell a=5.798 b=5.798 c=5.573 alpha=90.00 beta=90.00 gamma=90.00
Positions (direct):
I  0.000  0.500  0.000
I  0.500  0.000  0.000
Te  0.000  0.000  0.500
Se  0.000  0.000  0.000
H  0.500  0.500  0.500

The calculation puts the offset from the most stable computed form at 0.39 eV per formula unit. As for the density of states at the Fermi level: 5.1 states/eV/cell. For the volume, the calculation gives 37.47 A^3/atom.